Bi3SbRh4: optimized geometry, PBE.

The structure in POSCAR format:
```
Bi3SbRh4
1.0
6.4750 -0.5300 -0.3259
-3.6500 5.3744 0.3259
-2.9600 -1.5197 5.5893
Bi Sb Rh
3 1 4
direct
0.6032 0.2808 0.8840 Bi
0.9055 0.0000 0.9055 Bi
0.6032 0.7192 0.3225 Bi
0.0951 0.5000 0.5951 Sb
0.1993 0.7568 0.9561 Rh
0.1993 0.2432 0.4425 Rh
0.5066 0.2340 0.2726 Rh
0.0387 0.7660 0.2726 Rh
```

Calculated values
Final energy = -5.63 eV per atom
Formation energy from raw total energies = 0.02 eV/atom
Space group = No. 44

=====

Ce2Nd3Y6Th: optimized geometry, PBE.

The structure in POSCAR format:
```
Ce2Nd3Y6Th
1.0
6.2191 -0.0011 0.0043
-3.1090 5.3862 0.0043
-1.0466 -1.8122 11.6222
Ce Nd Y Th
2 3 6 1
direct
0.3333 0.6667 0.0000 Ce
0.6667 0.3333 0.0000 Ce
0.1667 0.8333 0.5000 Nd
0.8333 0.1667 0.5000 Nd
0.5000 0.5000 0.5000 Nd
0.9184 0.5866 0.7562 Y
0.7499 0.7499 0.2437 Y
0.0816 0.4134 0.2438 Y
0.5866 0.9184 0.7562 Y
0.2501 0.2501 0.7563 Y
0.4134 0.0816 0.2438 Y
0.0000 0.0000 0.0000 Th
```

Calculated values
Calculated formation energy = 0.04 eV per atom
Final energy = -5.99 eV per atom
Space group = No. 12

=====

Pm3MgGa2: optimized geometry, PBE.

The structure in POSCAR format:
```
Pm3MgGa2
1.0
3.6784 0.0000 0.0000
0.0000 3.6784 0.0000
0.0000 0.0000 11.5494
Pm Mg Ga
3 1 2
direct
0.0000 0.0000 0.0000 Pm
0.0000 0.0000 0.6824 Pm
0.0000 0.0000 0.3176 Pm
0.5000 0.5000 0.5000 Mg
0.5000 0.5000 0.8352 Ga
0.5000 0.5000 0.1648 Ga
```

Calculated values
Calculated formation energy = -0.40 eV per atom
Final energy = -4.05 eV per atom
Space group = No. 123

=====

Tb2PaTl: optimized geometry, PBE.

The structure in POSCAR format:
```
Tb2PaTl
1.0
4.5406 0.0000 0.0000
0.0000 4.9039 0.0000
0.0000 0.0000 4.9039
Tl Pa Tb
1 1 2
direct
0.5000 0.0000 0.0000 Tl
0.5000 0.5000 0.5000 Pa
0.0000 0.0000 0.5000 Tb
0.0000 0.5000 0.0000 Tb
```

Calculated values
Calculated formation energy = 0.05 eV per atom
Final energy = -5.23 eV per atom
Space group = No. 123